The following is a DFT calculation (PBE) of an optimized crystal structure of NbOs2Au.

Computed properties:
Energy of formation: 755 meV per atom
Calculated total energy: -8.1963 eV per atom
E above lowest polymorph: 679.1 meV/atom
Magnetization: 0.0 Bohr magnetons per cell

Unit cell a=3.941 b=3.941 c=9.674 alpha=78.25 beta=78.25 gamma=90.00
Positions (direct):
Os 0.570 0.125 0.250
Os 0.875 0.820 0.750
Os 0.375 0.430 0.750
Os 0.180 0.625 0.250
Au 0.000 0.000 0.000
Au 0.750 0.250 0.500
Nb 0.500 0.500 0.000
Nb 0.250 0.750 0.500

=====

The following is a DFT calculation (PBE) of an optimized crystal structure of NbOs2RhAu.

Computed properties:
Energy of formation: 1896 meV per atom
Calculated total energy: -6.7355 eV per atom
Magnetization: 2.1 Bohr magnetons per cell

Unit cell a=4.758 b=4.706 c=4.758 alpha=90.00 beta=90.00 gamma=90.00
Last column: magnetic moment on the atom in μB.
Positions (direct):
Os 0.500 0.000 0.000  0.97
Os 0.000 0.000 0.500  0.92
Au 0.500 0.500 0.500  0.04
Rh 0.000 0.500 0.000  0.24
Nb 0.000 0.000 0.000  -0.16

=====

The following is a DFT calculation (PBE) of an optimized crystal structure of NbSi2OsAu.

Computed properties:
Calculated total energy: -5.2960 eV per atom
ΔE_f (raw): 1.789 eV/atom
Magnetization: 2.6 Bohr magnetons per cell

Unit cell a=4.725 b=5.028 c=4.725 alpha=90.00 beta=90.00 gamma=90.00
Last column: magnetic moment on the atom in μB.
Positions (direct):
Au 0.000 0.500 0.000  0.01
Si 0.000 0.000 0.500  -0.01
Si 0.500 0.000 0.000  0.00
Os 0.500 0.500 0.500  2.36
Nb 0.000 0.000 0.000  0.12

=====

The following is a DFT calculation (PBE) of an optimized crystal structure of NbZn2OsAu.

Computed properties:
Energy of formation: 1483 meV per atom
Calculated total energy: -3.9420 eV per atom
Magnetization: 0.3 Bohr magnetons per cell

Unit cell a=4.979 b=4.702 c=4.979 alpha=90.00 beta=90.00 gamma=90.00
Last column: magnetic moment on the atom in μB.
Positions (direct):
Zn 0.000 0.000 0.500  0.01
Zn 0.500 0.000 0.000  0.01
Nb 0.000 0.000 0.000  0.01
Os 0.000 0.500 0.000  0.27
Au 0.500 0.500 0.500  0.01

=====

The following is a DFT calculation (PBE) of an optimized crystal structure of Nb3PAu.

Computed properties:
Energy of formation: 1672 meV per atom
Calculated total energy: -6.1078 eV per atom
E above lowest polymorph: 1485.7 meV/atom
Magnetization: 0.0 Bohr magnetons per cell

Unit cell a=4.956 b=4.956 c=4.956 alpha=90.00 beta=90.00 gamma=90.00
Positions (direct):
P 0.500 0.500 0.500
Au 0.000 0.000 0.000
Nb 0.000 0.500 0.000
Nb 0.000 0.000 0.500
Nb 0.500 0.000 0.000

=====

The following is a DFT calculation (PBE) of an optimized crystal structure of NbPAu.

Computed properties:
Energy of formation: -384 meV per atom
Calculated total energy: -6.6366 eV per atom
Magnetization: 0.0 Bohr magnetons per cell

Unit cell a=3.374 b=3.374 c=11.806 alpha=115.17 beta=115.17 gamma=90.61
Positions (direct):
P 0.536 0.536 0.190
P 0.464 0.464 0.810
Au 0.610 0.610 0.414
Au 0.390 0.390 0.586
Nb 0.901 0.901 0.103
Nb 0.099 0.099 0.897

=====

The following is a DFT calculation (PBE) of an optimized crystal structure of Nb3PAu.

Computed properties:
Energy of formation: 186 meV per atom
Calculated total energy: -7.5935 eV per atom
E above lowest polymorph: 0.0 meV/atom
Magnetization: 0.0 Bohr magnetons per cell

Unit cell a=4.605 b=4.605 c=4.605 alpha=90.00 beta=90.00 gamma=90.00
Positions (direct):
Au 0.500 0.500 0.500
Nb 0.000 0.500 0.000
Nb 0.500 0.000 0.000
Nb 0.000 0.000 0.500
P 0.000 0.000 0.000

=====

The following is a DFT calculation (PBE) of an optimized crystal structure of NbPAu2.

Computed properties:
Energy of formation: 36 meV per atom
Calculated total energy: -5.4727 eV per atom
Magnetization: 0.0 Bohr magnetons per cell

Unit cell a=7.418 b=7.418 c=5.856 alpha=50.70 beta=50.70 gamma=90.00
Positions (direct):
Au 0.875 0.839 0.750
Au 0.161 0.625 0.250
Au 0.589 0.125 0.250
Au 0.375 0.411 0.750
Nb 0.750 0.250 0.500
Nb 0.000 0.000 0.000
P 0.500 0.500 0.000
P 0.250 0.750 0.500

=====

The following is a DFT calculation (PBE) of an optimized crystal structure of NbPAuS2.

Computed properties:
Calculated total energy: -4.3840 eV per atom
ΔE_f (raw): 1.018 eV/atom
E above lowest polymorph: 751.1 meV/atom
Magnetization: 1.4 Bohr magnetons per cell

Unit cell a=4.787 b=4.787 c=4.695 alpha=90.00 beta=90.00 gamma=90.00
Last column: magnetic moment on the atom in μB.
Positions (direct):
Au 0.000 0.000 0.000  -0.04
Nb 0.500 0.500 0.500  2.04
S 0.500 0.000 0.000  -0.17
S 0.000 0.500 0.000  -0.17
P 0.000 0.000 0.500  -0.28

=====

The following is a DFT calculation (PBE) of an optimized crystal structure of NbPAuS2.

Computed properties:
Calculated total energy: -5.1351 eV per atom
ΔE_f (raw): 0.267 eV/atom
E above lowest polymorph: 0.0 meV/atom
Magnetization: 0.0 Bohr magnetons per cell

Unit cell a=4.730 b=4.730 c=4.978 alpha=90.00 beta=90.00 gamma=90.00
Positions (direct):
S 0.500 0.000 0.000
S 0.000 0.500 0.000
Nb 0.000 0.000 0.000
Au 0.500 0.500 0.500
P 0.000 0.000 0.500

=====

The following is a DFT calculation (PBE) of an optimized crystal structure of NbSbP2Au.

Computed properties:
Calculated total energy: -4.2142 eV per atom
ΔE_f (raw): 1.444 eV/atom
Magnetization: 0.0 Bohr magnetons per cell

Unit cell a=4.944 b=5.018 c=4.944 alpha=90.00 beta=90.00 gamma=90.00
Positions (direct):
Au 0.000 0.500 0.000
P 0.000 0.000 0.500
P 0.500 0.000 0.000
Nb 0.500 0.500 0.500
Sb 0.000 0.000 0.000

=====

The following is a DFT calculation (PBE) of an optimized crystal structure of NbTc2PAu.

Computed properties:
Energy of formation: 1814 meV per atom
Calculated total energy: -6.0843 eV per atom
Magnetization: 1.9 Bohr magnetons per cell

Unit cell a=4.712 b=5.101 c=4.712 alpha=90.00 beta=90.00 gamma=90.00
Last column: magnetic moment on the atom in μB.
Positions (direct):
Tc 0.500 0.000 0.000  1.29
Tc 0.000 0.000 0.500  1.06
Au 0.000 0.500 0.000  -0.05
Nb 0.000 0.000 0.000  -0.29
P 0.500 0.500 0.500  -0.19